A plane-wave DFT calculation with PBE-GGA was carried out for crystalline Cu2PbAu at its relaxed geometry.

abc: 6.609 6.609 6.609
angles: 90.00 90.00 90.00
Atoms (fractional coordinates):
1 Cu 0.000 0.000 0.000
2 Cu 0.000 0.500 0.500
3 Cu 0.250 0.250 0.250
4 Cu 0.250 0.750 0.750
5 Cu 0.500 0.000 0.500
6 Cu 0.500 0.500 0.000
7 Cu 0.750 0.250 0.750
8 Cu 0.750 0.750 0.250
9 Pb 0.250 0.250 0.750
10 Pb 0.250 0.750 0.250
11 Pb 0.750 0.250 0.250
12 Pb 0.750 0.750 0.750
13 Au 0.000 0.000 0.500
14 Au 0.000 0.500 0.000
15 Au 0.500 0.000 0.000
16 Au 0.500 0.500 0.500

Computed properties:
Energy of formation from the pure elements in eV per atom: 0.23
Energy in eV/atom: -3.568